# GGA+U Mn2FeReO6, optimized geometry
data_Mn2FeReO6
_chemical_formula_sum 'Mn4 Fe2 Re2 O12'
_space_group_name_H-M_alt 'P 1 21/c 1'
_space_group_IT_number 14
_cell_length_a 5.309
_cell_length_b 5.417
_cell_length_c 9.464
_cell_angle_alpha 90.00
_cell_angle_beta 124.03
_cell_angle_gamma 90.00
loop_
_space_group_symop_operation_xyz
'x,y,z'
'-x,-y,-z'
'-x,y+1/2,-z+1/2'
'x,-y+1/2,z+1/2'
loop_
_atom_site_label
_atom_site_type_symbol
_atom_site_fract_x
_atom_site_fract_y
_atom_site_fract_z
Mn1 Mn 0.238 0.046 0.241
Fe1 Fe 0.000 0.000 0.500
Re1 Re 0.500 0.000 0.000
O1 O 0.135 0.179 0.947
O2 O 0.263 0.704 0.925
O3 O 0.388 0.072 0.768
# * E_tot: -7.81 eV/atom
# * DOS(E_F): 4.0 states/eV/f.u.
# * size of the total moment: 12.99 μB per formula unit